# 1
# ReNi2HgGe PBE optimized geometry
data_ReNi2HgGe
_symmetry_space_group_name_H-M 'P 1'
_symmetry_Int_Tables_number 1
_cell_length_a 4.6649
_cell_length_b 4.6649
_cell_length_c 5.1071
_cell_angle_alpha 90.00
_cell_angle_beta 90.00
_cell_angle_gamma 90.00
loop_
_symmetry_equiv_pos_as_xyz
'x,y,z'
loop_
_atom_site_label
_atom_site_fract_x
_atom_site_fract_y
_atom_site_fract_z
Re1 0.0000 0.0000 0.0000
Ni1 0.0000 0.5000 0.5000
Ni2 0.5000 0.0000 0.5000
Hg1 0.0000 0.0000 0.5000
Ge1 0.5000 0.5000 0.0000
# energy relative to the elements	1.9250	eV per atom
# E_tot	-19.31	eV/cell
# space group	P4/mmm, No. 123

# 2
# NiHgGeSb2 PBE optimized geometry
data_NiHgGeSb2
_symmetry_space_group_name_H-M 'P 1'
_symmetry_Int_Tables_number 1
_cell_length_a 5.5523
_cell_length_b 5.5523
_cell_length_c 5.0327
_cell_angle_alpha 90.00
_cell_angle_beta 90.00
_cell_angle_gamma 90.00
loop_
_symmetry_equiv_pos_as_xyz
'x,y,z'
loop_
_atom_site_label
_atom_site_fract_x
_atom_site_fract_y
_atom_site_fract_z
Ni1 0.0000 0.0000 0.0000
Hg1 0.5000 0.5000 0.5000
Ge1 0.5000 0.5000 0.0000
Sb1 0.0000 0.5000 0.5000
Sb2 0.5000 0.0000 0.5000
# formation energy without anion corrections	1.292	eV/atom
# E_tot	-12.49	eV/cell
# space group	P4/mmm, No. 123

# 3
# Sr2NiHgGe PBE optimized geometry
data_Sr2NiHgGe
_symmetry_space_group_name_H-M 'P 1'
_symmetry_Int_Tables_number 1
_cell_length_a 5.7709
_cell_length_b 5.7709
_cell_length_c 4.4550
_cell_angle_alpha 90.00
_cell_angle_beta 90.00
_cell_angle_gamma 90.00
loop_
_symmetry_equiv_pos_as_xyz
'x,y,z'
loop_
_atom_site_label
_atom_site_fract_x
_atom_site_fract_y
_atom_site_fract_z
Sr1 0.0000 0.5000 0.0000
Sr2 0.5000 0.0000 0.0000
Ni1 0.0000 0.0000 0.0000
Hg1 0.5000 0.5000 0.5000
Ge1 0.0000 0.0000 0.5000
# energy relative to the elements	-0.3787	eV per atom
# E_tot	-15.96	eV/cell
# space group	P4/mmm, No. 123

Q: Number 1 is which compound?
A: ReNi2HgGe